CaCuIr2 after structural relaxation. Source: Alexandria via LeMat-Bulk, functional GGA-PBE.

Cell: 4.984 4.984 2.818 Å, 90.00 90.00 112.60°
Atoms (fractional coordinates):
Ca  0.500  0.000  0.500
Ir  0.000  0.000  0.000
Cu  0.000  0.500  0.500
Ir  0.500  0.500  0.000

Energy above the most stable polymorph in this dataset ... 193.9 meV/atom
Magnetic moment ... 0.0 μB/cell
Energy ... -5.738 eV/atom
Energy relative to the elements ... 20.9 kJ per mole of atoms